Crystalline SrPr3Bi4 at its relaxed geometry. Source: Alexandria via LeMat-Bulk, functional GGA-PBE.

Computed properties:
As for the formation energy: -0.88 eV/atom. As for the space-group type: P2/c, No. 13. Its raw total energy is -4.8265 eV/atom.

Lattice parameters (Å, degrees): 8.0953 8.1339 9.4124 90.00 90.00 109.67
Atoms (fractional coordinates):
Pr1 0.7500 0.0000 0.3743
Pr2 0.2500 0.0000 0.6257
Pr3 0.7500 0.5000 0.6252
Pr4 0.7500 0.5000 0.1240
Pr5 0.2500 0.5000 0.3748
Pr6 0.2500 0.5000 0.8760
Sr1 0.7500 0.0000 0.8762
Sr2 0.2500 0.0000 0.1238
Bi1 0.0043 0.2523 0.6207
Bi2 0.4990 0.2590 0.8696
Bi3 0.5043 0.2523 0.3793
Bi4 0.9990 0.2590 0.1304
Bi5 0.0010 0.7410 0.8696
Bi6 0.4957 0.7477 0.6207
Bi7 0.5010 0.7410 0.1304
Bi8 0.9957 0.7477 0.3793